DFT (GGA-PBE) results for crystalline Be2CrWN at its relaxed geometry.

The structure in CIF format:
```
data_Be2CrWN
_chemical_formula_sum 'Be2 Cr1 W1 N1'
_symmetry_space_group_name_H-M 'P 4/m m m'
_symmetry_Int_Tables_number 123
_symmetry_space_group_name_Hall '-P 4 2'
_cell_length_a 4.3718
_cell_length_b 4.3718
_cell_length_c 4.5461
_cell_angle_alpha 90.00
_cell_angle_beta 90.00
_cell_angle_gamma 90.00
loop_
_atom_site_label
_atom_site_fract_x
_atom_site_fract_y
_atom_site_fract_z
Be1 0.0000 0.5000 0.0000
Cr1 0.0000 0.0000 0.5000
W1 0.0000 0.0000 0.0000
N1 0.5000 0.5000 0.5000
```

Results
**Total DFT energy (no corrections)**: -25.89 eV per cell
**Volume**: 86.89 Å³ per cell
**Formation energy (no corrections)**: 2.49 eV per atom